5
Lattice="3.861 0.000 0.000 0.000 3.861 0.000 0.000 0.000 3.861" Properties=species:S:1:pos:R:3 comment="PBE+U FeSeO3, optimized geometry" energy_ev_per_fu=-24.7 sg="Pm-3m (221)" pbc="T T T"
Fe 0.000 0.000 0.000
Se 1.931 1.931 1.931
O 0.000 1.931 1.931
O 1.931 0.000 1.931
O 1.931 1.931 0.000